This record from Alexandria via LeMat-Bulk describes a geometry-optimized AcPaP structure. The functional is GGA-PBE.

Cell lengths 6.749, 6.749, 6.749 Å; angles 148.68, 148.68, 44.88 degrees
Fractional positions:
Ac  0.000  0.000  0.000
Pa  0.732  0.732  0.000
P  0.330  0.330  0.000

## Properties
ΔE_f = -0.4428 eV/atom


This record from Alexandria via LeMat-Bulk describes a geometry-optimized TeP2Pb structure. The functional is GGA-PBE.

Cell lengths 6.235, 6.235, 4.342 Å; angles 90.97, 90.97, 37.88 degrees
Fractional positions:
Te  0.000  0.000  0.000
P  0.207  0.207  0.081
P  0.476  0.476  0.598
Pb  0.722  0.722  0.539

## Properties
Energy relative to the elements, uncorrected = 0.99 eV per formula unit


This record from Alexandria via LeMat-Bulk describes a geometry-optimized LaHo2P3 structure. The functional is GGA-PBE.

Cell lengths 7.078, 7.078, 7.078 Å; angles 146.47, 131.69, 60.09 degrees
Fractional positions:
La  0.000  0.000  0.000
Ho  0.334  0.334  0.000
Ho  0.666  0.666  0.000
P  0.175  0.675  0.500
P  0.500  0.000  0.500
P  0.825  0.325  0.500

## Properties
ΔE_f = -1.5728 eV/atom


This record from Alexandria via LeMat-Bulk describes a geometry-optimized Pm2BeRh2 structure. The functional is GGA-PBE.

Cell lengths 5.840, 5.840, 7.205 Å; angles 100.63, 100.63, 56.34 degrees
Fractional positions:
Pm  0.017  0.277  0.150
Pm  0.277  0.017  0.650
Pm  0.723  0.983  0.350
Pm  0.983  0.723  0.850
Be  0.403  0.597  0.250
Be  0.597  0.403  0.750
Rh  0.251  0.497  0.490
Rh  0.497  0.251  0.990
Rh  0.503  0.749  0.010
Rh  0.749  0.503  0.510

## Properties
ΔE_f = -0.6157 eV/atom


This record from Alexandria via LeMat-Bulk describes a geometry-optimized SiTeIr structure. The functional is GGA-PBE.

Cell lengths 4.380, 4.380, 4.380 Å; angles 60.00, 60.00, 60.00 degrees
Fractional positions:
Si  0.000  0.000  0.000
Te  0.500  0.500  0.500
Ir  0.750  0.750  0.750

## Properties
Energy relative to the elements, uncorrected = -0.23 eV per formula unit


This record from Alexandria via LeMat-Bulk describes a geometry-optimized CaTlPO2 structure. The functional is GGA-PBE.

Cell lengths 4.360, 4.360, 5.119 Å; angles 90.00, 90.00, 90.00 degrees
Fractional positions:
Ca  0.000  0.000  0.000
Tl  0.500  0.500  0.500
P  0.500  0.500  0.000
O  0.000  0.500  0.500
O  0.500  0.000  0.500

## Properties
Energy relative to the elements, uncorrected = -1.41 eV per formula unit


This record from Alexandria via LeMat-Bulk describes a geometry-optimized Sm2InPb2 structure. The functional is GGA-PBE.

Cell lengths 8.124, 8.124, 9.079 Å; angles 90.00, 90.00, 90.00 degrees
Fractional positions:
Sm  0.173  0.327  0.000
Sm  0.173  0.327  0.500
Sm  0.327  0.827  0.000
Sm  0.327  0.827  0.500
Sm  0.673  0.173  0.000
Sm  0.673  0.173  0.500
Sm  0.827  0.673  0.000
Sm  0.827  0.673  0.500
In  0.000  0.000  0.250
In  0.000  0.000  0.750
In  0.500  0.500  0.250
In  0.500  0.500  0.750
Pb  0.133  0.633  0.250
Pb  0.133  0.633  0.750
Pb  0.367  0.133  0.250
Pb  0.367  0.133  0.750
Pb  0.633  0.867  0.250
Pb  0.633  0.867  0.750
Pb  0.867  0.367  0.250
Pb  0.867  0.367  0.750

## Properties
ΔE_f = -0.4241 eV/atom


This record from Alexandria via LeMat-Bulk describes a geometry-optimized CaHg2H structure. The functional is GGA-PBE.

Cell lengths 7.062, 7.062, 7.062 Å; angles 95.19, 95.19, 145.00 degrees
Fractional positions:
Ca  0.000  0.000  0.000
Ca  0.750  0.250  0.500
Hg  0.239  0.125  0.614
Hg  0.375  0.761  0.886
Hg  0.511  0.625  0.386
Hg  0.875  0.489  0.114
H  0.250  0.750  0.500
H  0.500  0.500  0.000

## Properties
Calculated total energy = -0.05960 hartree per atom